Entry from the Alexandria database: a relaxed GdMgZnHg crystal (PBE-GGA). Values from VASP.

Calculated values
ΔE_f	-1.52	eV/f.u.

```
&SYSTEM
  ibrav = 0, nat = 4, ntyp = 4
/
ATOMIC_SPECIES
Gd 157.25 Gd.upf
Mg 24.30 Mg.upf
Zn 65.41 Zn.upf
Hg 200.59 Hg.upf
ATOMIC_POSITIONS angstrom
Gd 0.000 0.000 0.000
Mg 3.538 3.538 3.538
Zn 1.769 1.769 1.769
Hg 5.307 5.307 5.307
CELL_PARAMETERS angstrom
0.000 3.538 3.538
3.538 0.000 3.538
3.538 3.538 0.000
```

=====

Entry from the Alexandria database: a relaxed GdMgZrHg crystal (PBE-GGA). Values from VASP.

Calculated values
ΔE_f	-0.35	eV/f.u.

```
&SYSTEM
  ibrav = 0, nat = 4, ntyp = 4
/
ATOMIC_SPECIES
Gd 157.25 Gd.upf
Mg 24.30 Mg.upf
Zr 91.22 Zr.upf
Hg 200.59 Hg.upf
ATOMIC_POSITIONS angstrom
Gd 0.000 0.000 0.000
Mg 5.473 5.473 5.473
Zr 3.649 3.649 3.649
Hg 1.824 1.824 1.824
CELL_PARAMETERS angstrom
0.000 3.649 3.649
3.649 0.000 3.649
3.649 3.649 0.000
```

=====

Entry from the Alexandria database: a relaxed Gd2MnHg crystal (PBE-GGA). Values from VASP.

Calculated values
ΔE_f	-0.66	eV/f.u.

```
&SYSTEM
  ibrav = 0, nat = 4, ntyp = 3
/
ATOMIC_SPECIES
Gd 157.25 Gd.upf
Mn 54.94 Mn.upf
Hg 200.59 Hg.upf
ATOMIC_POSITIONS angstrom
Gd 0.000 0.000 1.789
Gd 0.000 0.000 5.982
Mn 1.775 1.775 0.000
Hg 1.775 1.775 3.885
CELL_PARAMETERS angstrom
3.550 0.000 0.000
0.000 3.550 0.000
0.000 0.000 7.770
```